1.
Material: TlPt2Rh
Method: DFT, PBE-GGA
State: optimized geometry

Lattice parameters (Å, degrees): 3.9971 3.9971 4.2042 90.00 90.00 90.00
Closest atoms and distances in Å follow each position.
Space group P4/mmm (No. 123)
Unique sites:
Tl (0.0000, 0.0000, 0.0000) [1 per cell]  4 Rh 2.83, 8 Pt 2.90
Pt (0.0000, 0.5000, 0.5000) [2 per cell]  4 Pt 2.83, 4 Rh 2.90, 4 Tl 2.90
Rh (0.5000, 0.5000, 0.0000) [1 per cell]  4 Tl 2.83, 8 Pt 2.90

Formation enthalpy at 0 K in eV/atom: 0.021
Volume in A^3/atom: 16.79



2.
Material: TlPt2Rh2
Method: DFT, PBE-GGA
State: optimized geometry

Lattice parameters (Å, degrees): 7.8143 7.8143 2.8315 90.00 90.00 90.00
Closest atoms and distances in Å follow each position.
Space group P4/mbm (No. 127)
Unique sites:
Tl (0.0000, 0.0000, 0.0000) [2 per cell]  2 Tl 2.83, 4 Pt 3.10
Pt (0.1227, 0.3773, 0.0000) [4 per cell]  6 Rh 2.64-2.76, 3 Pt 2.71-2.83
Rh (0.1755, 0.6755, 0.5000) [4 per cell]  6 Pt 2.64-2.76, 2 Rh 2.83

Formation enthalpy at 0 K in eV/atom: 0.213
Volume in A^3/atom: 17.29
ΔE to the lowest computed polymorph in eV per atom: 0.0000



> Which of these has the highest formation enthalpy at 0 K?

TlPt2Rh2